CsZnCl | the Alexandria database | PBE | relaxed; ΔE_f (raw) = -1013 meV per atom; space-group type = No. 8; V = 458.0 Å³ per cell
1.0
12.0001 0.0000 -0.0006
0.0000 4.7287 0.0000
-1.9903 0.0000 8.0715
Cs Zn Cl
4 4 4
direct
0.8948 0.0000 0.6525 Cs
0.8948 0.5000 0.1525 Cs
0.2635 0.0000 0.4438 Cs
0.2635 0.5000 0.9438 Cs
0.4984 0.0000 0.8576 Zn
0.4984 0.5000 0.3576 Zn
0.5144 0.0000 0.1946 Zn
0.5144 0.5000 0.6946 Zn
0.0898 0.0000 0.0524 Cl
0.0898 0.5000 0.5524 Cl
0.7277 0.0000 0.2640 Cl
0.7277 0.5000 0.7640 Cl